No. 1
Material: Ba2PaS4
Method: DFT, PBE
State: relaxed

POSCAR file:
```
Ba2PaS4
1.0
7.887 -2.074 0.000
7.887 2.074 0.000
-3.087 0.000 6.270
Ba Pa S
2 1 4
Direct
0.152 0.152 0.151
0.848 0.848 0.849
0.000 0.000 0.500
0.187 0.187 0.688
0.500 0.500 0.237
0.500 0.500 0.763
0.813 0.813 0.312
```

**Distance to the lowest polymorph of the same formula**: 35.1 meV per atom
**Space group**: C2/m, No. 12
**V**: 29.3 A^3/atom
**Total magnetization**: 0.9 μB/cell

No. 2
Material: Ba3Pa2S8
Method: DFT, PBE
State: relaxed

POSCAR file:
```
Ba3Pa2S8
1.0
3.730 2.154 8.944
-3.730 2.154 8.944
0.000 -4.308 8.944
Ba Pa S
3 2 8
Direct
0.000 0.000 0.000
0.196 0.196 0.196
0.804 0.804 0.804
0.402 0.402 0.402
0.598 0.598 0.598
0.204 0.744 0.744
0.256 0.256 0.796
0.256 0.796 0.256
0.309 0.309 0.309
0.691 0.691 0.691
0.744 0.204 0.744
0.744 0.744 0.204
0.796 0.256 0.256
```

**Distance to the lowest polymorph of the same formula**: 150.6 meV per atom
**Space group**: R-3m, No. 166
**V**: 33.2 A^3/atom
**Total magnetization**: 0.0 μB/cell

No. 3
Material: Ba2Pa3S10
Method: DFT, PBE
State: relaxed

POSCAR file:
```
Ba2Pa3S10
1.0
11.768 -3.936 0.000
11.768 3.936 0.000
-3.820 0.000 9.320
Ba Pa S
4 6 20
Direct
0.113 0.113 0.183
0.225 0.225 0.840
0.775 0.775 0.160
0.887 0.887 0.817
0.244 0.756 0.500
0.320 0.320 0.468
0.420 0.420 0.031
0.580 0.580 0.969
0.680 0.680 0.532
0.756 0.244 0.500
0.000 0.500 0.500
0.005 0.005 0.680
0.106 0.590 0.027
0.120 0.642 0.419
0.250 0.250 0.204
0.274 0.726 0.000
0.358 0.880 0.581
0.359 0.359 0.750
0.410 0.894 0.973
0.498 0.498 0.322
0.500 0.000 0.500
0.502 0.502 0.678
0.590 0.106 0.027
0.641 0.641 0.250
0.642 0.120 0.419
0.726 0.274 0.000
0.750 0.750 0.796
0.880 0.358 0.581
0.894 0.410 0.973
0.995 0.995 0.320
```

**Space group**: C2/m, No. 12
**V**: 28.8 A^3/atom
**Total magnetization**: 0.0 μB/cell

No. 4
Material: BaPaS4
Method: DFT, PBE
State: relaxed

POSCAR file:
```
BaPaS4
1.0
6.154 0.000 0.000
0.000 6.595 0.000
0.000 0.000 7.872
Ba Pa S
2 2 8
Direct
0.000 0.000 0.000
0.500 0.500 0.000
0.000 0.000 0.500
0.500 0.500 0.500
0.249 0.250 0.294
0.249 0.250 0.706
0.251 0.750 0.294
0.251 0.750 0.706
0.749 0.250 0.294
0.749 0.250 0.706
0.751 0.750 0.294
0.751 0.750 0.706
```

**Distance to the lowest polymorph of the same formula**: 0.0 meV per atom
**Space group**: Pbam, No. 55
**V**: 26.6 A^3/atom
**Total magnetization**: 0.0 μB/cell

For the records above, the corresponding raw formation energy values read -1833, -1567, -1568, -1406 meV per atom.